Compound: Nd2TmPuSe5
Source: the Alexandria database
Functional: PBE
Structure: optimized geometry

```
data_Nd2TmPuSe5
_symmetry_space_group_name_H-M 'P 1'
_symmetry_Int_Tables_number 1
_cell_length_a 5.038
_cell_length_b 5.038
_cell_length_c 10.884
_cell_angle_alpha 90.00
_cell_angle_beta 90.00
_cell_angle_gamma 90.00
loop_
_symmetry_equiv_pos_as_xyz
'x,y,z'
loop_
_atom_site_label
_atom_site_type_symbol
_atom_site_fract_x
_atom_site_fract_y
_atom_site_fract_z
Nd1 Nd 0.000 0.000 0.212
Nd2 Nd 0.000 0.000 0.788
Tm1 Tm 0.500 0.500 0.000
Pu1 Pu 0.500 0.500 0.500
Se1 Se 0.000 0.000 0.500
Se2 Se 0.000 0.500 0.000
Se3 Se 0.500 0.000 0.000
Se4 Se 0.500 0.500 0.250
Se5 Se 0.500 0.500 0.750
```

Values from the calculation:
**Total DFT energy (no corrections)**: -6.3339 eV/atom
**M_tot**: 6.460 μB per formula unit

Compound: Nd3Tm2PuSe6
Source: the Alexandria database
Functional: PBE
Structure: optimized geometry

```
data_Nd3Tm2PuSe6
_symmetry_space_group_name_H-M 'P 1'
_symmetry_Int_Tables_number 1
_cell_length_a 7.128
_cell_length_b 7.128
_cell_length_c 7.272
_cell_angle_alpha 99.40
_cell_angle_beta 99.40
_cell_angle_gamma 120.04
loop_
_symmetry_equiv_pos_as_xyz
'x,y,z'
loop_
_atom_site_label
_atom_site_type_symbol
_atom_site_fract_x
_atom_site_fract_y
_atom_site_fract_z
Nd1 Nd 0.000 0.000 0.000
Nd2 Nd 0.336 0.664 0.000
Nd3 Nd 0.664 0.336 0.000
Tm1 Tm 0.167 0.833 0.500
Tm2 Tm 0.833 0.167 0.500
Pu1 Pu 0.500 0.500 0.500
Se1 Se 0.082 0.421 0.264
Se2 Se 0.237 0.237 0.732
Se3 Se 0.421 0.082 0.264
Se4 Se 0.579 0.918 0.736
Se5 Se 0.763 0.763 0.268
Se6 Se 0.918 0.579 0.736
```

Values from the calculation:
**Total DFT energy (no corrections)**: -6.6187 eV/atom
**M_tot**: 5.850 μB per formula unit

Compound: NdTm3Pu2Se6
Source: the Alexandria database
Functional: PBE
Structure: optimized geometry

```
data_NdTm3Pu2Se6
_symmetry_space_group_name_H-M 'P 1'
_symmetry_Int_Tables_number 1
_cell_length_a 7.055
_cell_length_b 7.055
_cell_length_c 7.163
_cell_angle_alpha 99.45
_cell_angle_beta 99.45
_cell_angle_gamma 120.07
loop_
_symmetry_equiv_pos_as_xyz
'x,y,z'
loop_
_atom_site_label
_atom_site_type_symbol
_atom_site_fract_x
_atom_site_fract_y
_atom_site_fract_z
Nd1 Nd 0.000 0.000 0.000
Tm1 Tm 0.165 0.835 0.500
Tm2 Tm 0.500 0.500 0.500
Tm3 Tm 0.835 0.165 0.500
Pu1 Pu 0.333 0.667 0.000
Pu2 Pu 0.667 0.333 0.000
Se1 Se 0.088 0.426 0.264
Se2 Se 0.251 0.251 0.737
Se3 Se 0.426 0.088 0.264
Se4 Se 0.574 0.912 0.736
Se5 Se 0.749 0.749 0.263
Se6 Se 0.912 0.574 0.736
```

Values from the calculation:
**Total DFT energy (no corrections)**: -7.3234 eV/atom
**M_tot**: 11.858 μB per formula unit

Compound: Nd3TmPu2Se6
Source: the Alexandria database
Functional: PBE
Structure: optimized geometry

```
data_Nd3TmPu2Se6
_symmetry_space_group_name_H-M 'P 1'
_symmetry_Int_Tables_number 1
_cell_length_a 7.186
_cell_length_b 7.186
_cell_length_c 7.266
_cell_angle_alpha 99.48
_cell_angle_beta 99.48
_cell_angle_gamma 120.01
loop_
_symmetry_equiv_pos_as_xyz
'x,y,z'
loop_
_atom_site_label
_atom_site_type_symbol
_atom_site_fract_x
_atom_site_fract_y
_atom_site_fract_z
Nd1 Nd 0.000 0.000 0.000
Nd2 Nd 0.331 0.669 0.000
Nd3 Nd 0.669 0.331 0.000
Tm1 Tm 0.500 0.500 0.500
Pu1 Pu 0.166 0.834 0.500
Pu2 Pu 0.834 0.166 0.500
Se1 Se 0.093 0.421 0.263
Se2 Se 0.253 0.253 0.741
Se3 Se 0.421 0.093 0.263
Se4 Se 0.579 0.907 0.737
Se5 Se 0.747 0.747 0.259
Se6 Se 0.907 0.579 0.737
```

Values from the calculation:
**Total DFT energy (no corrections)**: -7.4199 eV/atom
**M_tot**: 11.552 μB per formula unit

Compound: Nd2Pu3USe6
Source: the Alexandria database
Functional: PBE
Structure: optimized geometry

```
data_Nd2Pu3USe6
_symmetry_space_group_name_H-M 'P 1'
_symmetry_Int_Tables_number 1
_cell_length_a 9.281
_cell_length_b 9.281
_cell_length_c 8.371
_cell_angle_alpha 102.61
_cell_angle_beta 102.61
_cell_angle_gamma 25.72
loop_
_symmetry_equiv_pos_as_xyz
'x,y,z'
loop_
_atom_site_label
_atom_site_type_symbol
_atom_site_fract_x
_atom_site_fract_y
_atom_site_fract_z
Nd1 Nd 0.166 0.166 0.336
Nd2 Nd 0.834 0.834 0.664
Pu1 Pu 0.168 0.168 0.836
Pu2 Pu 0.500 0.500 0.500
Pu3 Pu 0.832 0.832 0.164
U1 U 0.500 0.500 0.000
Se1 Se 0.002 0.002 0.753
Se2 Se 0.334 0.334 0.410
Se3 Se 0.335 0.335 0.922
Se4 Se 0.665 0.665 0.078
Se5 Se 0.666 0.666 0.590
Se6 Se 0.998 0.998 0.247
```

Values from the calculation:
**Total DFT energy (no corrections)**: -8.6008 eV/atom
**M_tot**: 8.566 μB per formula unit

Compound: NdYPu2Se4
Source: the Alexandria database
Functional: PBE
Structure: optimized geometry

```
data_NdYPu2Se4
_symmetry_space_group_name_H-M 'P 1'
_symmetry_Int_Tables_number 1
_cell_length_a 7.143
_cell_length_b 4.146
_cell_length_c 7.257
_cell_angle_alpha 90.00
_cell_angle_beta 109.49
_cell_angle_gamma 90.00
loop_
_symmetry_equiv_pos_as_xyz
'x,y,z'
loop_
_atom_site_label
_atom_site_type_symbol
_atom_site_fract_x
_atom_site_fract_y
_atom_site_fract_z
Nd1 Nd 0.000 0.000 0.000
Y1 Y 0.000 0.500 0.500
Pu1 Pu 0.500 0.000 0.500
Pu2 Pu 0.500 0.500 0.000
Se1 Se 0.249 0.000 0.745
Se2 Se 0.254 0.500 0.257
Se3 Se 0.746 0.500 0.743
Se4 Se 0.751 0.000 0.255
```

Values from the calculation:
**Total DFT energy (no corrections)**: -8.4080 eV/atom
**M_tot**: 0.093 μB per formula unit

Compound: Nd3Y2PuSe6
Source: the Alexandria database
Functional: PBE
Structure: optimized geometry

```
data_Nd3Y2PuSe6
_symmetry_space_group_name_H-M 'P 1'
_symmetry_Int_Tables_number 1
_cell_length_a 9.336
_cell_length_b 9.336
_cell_length_c 8.392
_cell_angle_alpha 103.40
_cell_angle_beta 103.40
_cell_angle_gamma 25.60
loop_
_symmetry_equiv_pos_as_xyz
'x,y,z'
loop_
_atom_site_label
_atom_site_type_symbol
_atom_site_fract_x
_atom_site_fract_y
_atom_site_fract_z
Nd1 Nd 0.000 0.000 0.000
Nd2 Nd 0.335 0.335 0.665
Nd3 Nd 0.665 0.665 0.335
Y1 Y 0.336 0.336 0.172
Y2 Y 0.664 0.664 0.828
Pu1 Pu 0.000 0.000 0.500
Se1 Se 0.166 0.166 0.591
Se2 Se 0.171 0.171 0.076
Se3 Se 0.498 0.498 0.254
Se4 Se 0.502 0.502 0.746
Se5 Se 0.829 0.829 0.924
Se6 Se 0.834 0.834 0.409
```

Values from the calculation:
**Total DFT energy (no corrections)**: -6.9881 eV/atom
**M_tot**: 5.937 μB per formula unit

Compound: Nd2YPu3Se6
Source: the Alexandria database
Functional: PBE
Structure: optimized geometry

```
data_Nd2YPu3Se6
_symmetry_space_group_name_H-M 'P 1'
_symmetry_Int_Tables_number 1
_cell_length_a 9.322
_cell_length_b 9.322
_cell_length_c 8.350
_cell_angle_alpha 103.28
_cell_angle_beta 103.28
_cell_angle_gamma 25.74
loop_
_symmetry_equiv_pos_as_xyz
'x,y,z'
loop_
_atom_site_label
_atom_site_type_symbol
_atom_site_fract_x
_atom_site_fract_y
_atom_site_fract_z
Nd1 Nd 0.167 0.167 0.335
Nd2 Nd 0.833 0.833 0.665
Y1 Y 0.500 0.500 0.000
Pu1 Pu 0.168 0.168 0.834
Pu2 Pu 0.500 0.500 0.500
Pu3 Pu 0.832 0.832 0.166
Se1 Se 0.002 0.002 0.755
Se2 Se 0.335 0.335 0.412
Se3 Se 0.335 0.335 0.923
Se4 Se 0.665 0.665 0.077
Se5 Se 0.665 0.665 0.588
Se6 Se 0.998 0.998 0.245
```

Values from the calculation:
**Total DFT energy (no corrections)**: -8.3514 eV/atom
**M_tot**: 17.390 μB per formula unit